Compound: SrLuCuSe3
Source: the Open Quantum Materials Database
Functional: PBE
Structure: relaxed

The structure belongs to space group Cmcm (No. 63); the cell edges are 4.043, 13.586 and 10.417 Å and the angles 90.00°, 90.00° and 90.00°. The inequivalent atoms are Sr at (0.000, 0.249, 0.250), Lu at (0.000, 0.000, 0.000), Cu at (0.000, 0.469, 0.750), Se at (0.000, 0.077, 0.750) and Se at (0.000, 0.362, 0.561).

Its excess energy over the best structure of this formula in the dataset is 0.017 kcal/mol of atoms.